# 1
The following is a DFT calculation (PBE-GGA) of a geometry-optimized K4BaCo structure.

Cell: 7.860 7.860 7.860 Å, 60.00 60.00 60.00°
Element x y z (fractional)
1 Ba 0.750 0.750 0.750
2 K 0.879 0.374 0.374
3 K 0.374 0.374 0.374
4 K 0.374 0.879 0.374
5 K 0.374 0.374 0.879
6 Co 0.000 0.000 0.000

Summary:
Space group: F-43m, No. 216
Energy of formation (eV per atom): 0.737

=====

# 2
The following is a DFT calculation (PBE-GGA) of a geometry-optimized KBa2Co structure.

Cell: 3.946 3.945 12.077 Å, 71.20 90.00 90.00°
Element x y z (fractional)
1 Ba 0.000 0.905 0.091
2 Ba 0.000 0.595 0.409
3 K 0.500 0.750 0.750
4 Co 0.500 0.250 0.250

Summary:
Space group: P2/m, No. 10
Distance to the lowest polymorph of the same formula (meV/atom): 18.5
Energy of formation (eV per atom): 0.346

=====

# 3
The following is a DFT calculation (PBE-GGA) of a geometry-optimized KBa2Co structure.

Cell: 4.452 7.965 7.966 Å, 45.10 90.00 90.00°
Element x y z (fractional)
1 Ba 0.500 0.353 0.353
2 Ba 0.000 0.005 0.005
3 Co 0.000 0.486 0.486
4 K 0.500 0.656 0.657

Summary:
Space group: Amm2, No. 38
Distance to the lowest polymorph of the same formula (meV/atom): 161.9
Energy of formation (eV per atom): 0.489

=====

# 4
The following is a DFT calculation (PBE-GGA) of a geometry-optimized KBa2Co2 structure.

Cell: 8.875 8.875 4.653 Å, 90.00 90.00 90.00°
Element x y z (fractional)
1 Co 0.085 0.415 0.000
2 Co 0.585 0.085 0.000
3 Co 0.915 0.585 0.000
4 Co 0.415 0.915 0.000
5 K 0.000 0.000 0.000
6 K 0.500 0.500 0.000
7 Ba 0.838 0.338 0.500
8 Ba 0.162 0.662 0.500
9 Ba 0.338 0.162 0.500
10 Ba 0.662 0.838 0.500

Summary:
Space group: P4/mbm, No. 127
Distance to the lowest polymorph of the same formula (meV/atom): 0.0
Energy of formation (eV per atom): 0.486

=====

# 5
The following is a DFT calculation (PBE-GGA) of a geometry-optimized KBaCo structure.

Cell: 4.512 4.512 7.765 Å, 90.00 90.00 120.00°
Element x y z (fractional)
1 Ba 0.000 0.000 0.113
2 K 0.667 0.333 0.583
3 Co 0.333 0.667 0.304

Summary:
Space group: P3m1, No. 156
Distance to the lowest polymorph of the same formula (meV/atom): 81.4
Energy of formation (eV per atom): 0.771

=====

# 6
The following is a DFT calculation (PBE-GGA) of a geometry-optimized KBa2Co structure.

Cell: 11.922 11.922 11.922 Å, 160.44 160.03 28.10°
Element x y z (fractional)
1 K 0.311 0.811 0.500
2 Co 0.553 0.553 0.000
3 Ba 0.990 0.990 0.000
4 Ba 0.646 0.146 0.500

Summary:
Space group: Imm2, No. 44
Distance to the lowest polymorph of the same formula (meV/atom): 94.2
Energy of formation (eV per atom): 0.421

=====

# 7
The following is a DFT calculation (PBE-GGA) of a geometry-optimized KBa4Co structure.

Cell: 7.847 7.847 7.847 Å, 60.00 60.00 60.00°
Element x y z (fractional)
1 Ba 0.376 0.376 0.871
2 Ba 0.871 0.376 0.376
3 Ba 0.376 0.871 0.376
4 Ba 0.376 0.376 0.376
5 K 0.000 0.000 0.000
6 Co 0.750 0.750 0.750

Summary:
Space group: F-43m, No. 216
Energy of formation (eV per atom): 0.842

=====

# 8
The following is a DFT calculation (PBE-GGA) of a geometry-optimized KBa2Co structure.

Cell: 9.634 5.872 4.903 Å, 89.95 59.48 127.47°
Element x y z (fractional)
1 Ba 0.500 0.000 0.500
2 Ba 0.000 0.000 0.000
3 Co 0.000 0.500 0.500
4 K 0.500 0.500 0.000

Summary:
Space group: Cmmm, No. 65
Distance to the lowest polymorph of the same formula (meV/atom): 351.4
Energy of formation (eV per atom): 0.679

=====

# 9
The following is a DFT calculation (PBE-GGA) of a geometry-optimized KBa2Co2 structure.

Cell: 6.011 6.011 6.541 Å, 62.65 62.65 90.00°
Element x y z (fractional)
1 Ba 0.750 0.250 0.500
2 Ba 0.250 0.750 0.500
3 Co 0.391 0.391 0.218
4 Co 0.609 0.609 0.782
5 K 0.000 0.000 0.000

Summary:
Space group: I4/mmm, No. 139
Distance to the lowest polymorph of the same formula (meV/atom): 193.1
Energy of formation (eV per atom): 0.679

=====

# 10
The following is a DFT calculation (PBE-GGA) of a geometry-optimized KBaCo structure.

Cell: 5.509 5.509 5.509 Å, 60.00 60.00 60.00°
Element x y z (fractional)
1 Co 0.750 0.750 0.750
2 K 0.000 0.000 0.000
3 Ba 0.500 0.500 0.500

Summary:
Space group: F-43m, No. 216
Distance to the lowest polymorph of the same formula (meV/atom): 128.2
Energy of formation (eV per atom): 0.818

=====

# 11
The following is a DFT calculation (PBE-GGA) of a geometry-optimized KBa2Co structure.

Cell: 7.519 7.519 7.578 Å, 59.26 59.26 32.31°
Element x y z (fractional)
1 Co 0.475 0.475 0.677
2 K 0.181 0.181 0.269
3 Ba 0.840 0.840 0.630
4 Ba 0.004 0.004 0.924

Summary:
Space group: Cm, No. 8
Distance to the lowest polymorph of the same formula (meV/atom): 156.1
Energy of formation (eV per atom): 0.483

=====

# 12
The following is a DFT calculation (PBE-GGA) of a geometry-optimized K2BaCo2 structure.

Cell: 6.737 6.737 6.737 Å, 129.17 129.17 74.74°
Element x y z (fractional)
1 K 0.354 0.354 0.000
2 K 0.646 0.646 0.000
3 Co 0.750 0.250 0.500
4 Co 0.250 0.750 0.500
5 Ba 0.000 0.000 0.000

Summary:
Space group: I4/mmm, No. 139
Energy of formation (eV per atom): 1.142

=====

# 13
The following is a DFT calculation (PBE-GGA) of a geometry-optimized KBa2Co structure.

Cell: 7.213 7.213 7.213 Å, 137.14 137.14 62.22°
Element x y z (fractional)
1 K 0.250 0.750 0.500
2 Ba 0.000 0.000 0.000
3 Ba 0.750 0.250 0.500
4 Co 0.500 0.500 0.000

Summary:
Space group: I-4m2, No. 119
Distance to the lowest polymorph of the same formula (meV/atom): 388.6
Energy of formation (eV per atom): 0.716

=====

# 14
The following is a DFT calculation (PBE-GGA) of a geometry-optimized KBa2Co structure.

Cell: 5.941 5.941 5.941 Å, 60.00 60.00 60.00°
Element x y z (fractional)
1 Co 0.500 0.500 0.500
2 K 0.000 0.000 0.000
3 Ba 0.750 0.750 0.750
4 Ba 0.250 0.250 0.250

Summary:
Space group: Fm-3m, No. 225
Distance to the lowest polymorph of the same formula (meV/atom): 334.8
Energy of formation (eV per atom): 0.662

=====

# 15
The following is a DFT calculation (PBE-GGA) of a geometry-optimized KBa2Co structure.

Cell: 6.087 6.087 6.087 Å, 60.00 60.00 60.00°
Element x y z (fractional)
1 Co 0.500 0.500 0.500
2 Ba 0.000 0.000 0.000
3 Ba 0.250 0.250 0.250
4 K 0.750 0.750 0.750

Summary:
Space group: F-43m, No. 216
Distance to the lowest polymorph of the same formula (meV/atom): 460.6
Energy of formation (eV per atom): 0.788

=====

# 16
The following is a DFT calculation (PBE-GGA) of a geometry-optimized KBa2Co structure.

Cell: 7.559 7.559 7.559 Å, 147.11 124.14 66.37°
Element x y z (fractional)
1 Ba 0.918 0.918 0.000
2 Ba 0.582 0.582 0.000
3 K 0.250 0.750 0.500
4 Co 0.750 0.250 0.500

Summary:
Space group: Immm, No. 71
Distance to the lowest polymorph of the same formula (meV/atom): 171.2
Energy of formation (eV per atom): 0.498

=====

# 17
The following is a DFT calculation (PBE-GGA) of a geometry-optimized KBa2Co structure.

Cell: 4.257 4.257 11.451 Å, 90.00 90.00 90.00°
Element x y z (fractional)
1 Co 0.000 0.000 0.302
2 K 0.500 0.500 0.760
3 Ba 0.000 0.000 0.076
4 Ba 0.500 0.500 0.363

Summary:
Space group: P4mm, No. 99
Distance to the lowest polymorph of the same formula (meV/atom): 162.3
Energy of formation (eV per atom): 0.490

=====

# 18
The following is a DFT calculation (PBE-GGA) of a geometry-optimized KBaCo4 structure.

Cell: 5.356 5.356 5.356 Å, 60.00 60.00 60.00°
Element x y z (fractional)
1 K 0.750 0.750 0.750
2 Co 0.876 0.375 0.375
3 Co 0.375 0.876 0.375
4 Co 0.375 0.375 0.375
5 Co 0.375 0.375 0.876
6 Ba 0.000 0.000 0.000

Summary:
Space group: F-43m, No. 216
Energy of formation (eV per atom): 0.724

=====

# 19
The following is a DFT calculation (PBE-GGA) of a geometry-optimized KBaCo structure.

Cell: 8.370 8.371 8.371 Å, 152.72 152.72 38.97°
Element x y z (fractional)
1 Ba 0.946 0.946 0.000
2 K 0.704 0.704 0.000
3 Co 0.349 0.349 0.000

Summary:
Space group: I4mm, No. 107
Distance to the lowest polymorph of the same formula (meV/atom): 0.0
Energy of formation (eV per atom): 0.690

=====

# 20
The following is a DFT calculation (PBE-GGA) of a geometry-optimized KBaCoN2 structure.

Cell: 5.156 7.875 5.156 Å, 90.00 90.00 90.00°
Element x y z (fractional)
1 Ba 0.000 0.000 0.000
2 N 0.500 0.000 0.000
3 N 0.000 0.000 0.500
4 Co 0.500 0.500 0.500
5 K 0.000 0.500 0.000

Summary:
Space group: P4/mmm, No. 123
Energy relative to the elements, uncorrected (eV per atom): 1.9234

=====

# 21
The following is a DFT calculation (PBE-GGA) of a geometry-optimized KBaNb2Co structure.

Cell: 4.750 4.750 6.065 Å, 90.00 90.00 90.00°
Element x y z (fractional)
1 Co 0.000 0.000 0.000
2 K 0.000 0.000 0.500
3 Ba 0.500 0.500 0.500
4 Nb 0.500 0.000 0.000
5 Nb 0.000 0.500 0.000

Summary:
Space group: P4/mmm, No. 123
Energy of formation (eV per atom): 0.984